(1)
Computed, not measured: a geometry-optimized Cs14KS structure at the GGA-PBE level of DFT.

Lattice parameters (Å, degrees): 10.7289 10.7290 14.2447 90.00 90.00 103.03
Sites, in units of the cell vectors:
Cs 0.1038 0.8962 0.0000
Cs 0.5803 0.4197 0.0000
Cs 0.0984 0.3697 0.5000
Cs 0.0604 0.3790 0.0000
Cs 0.6303 0.9016 0.5000
Cs 0.6210 0.9396 0.0000
Cs 0.4723 0.1950 0.6643
Cs 0.4723 0.1950 0.3357
Cs 0.8050 0.5277 0.6643
Cs 0.8050 0.5277 0.3357
Cs 0.3379 0.6621 0.7505
Cs 0.3379 0.6621 0.2495
Cs 0.8913 0.1087 0.7037
Cs 0.8913 0.1087 0.2963
K 0.1311 0.8689 0.5000
S 0.7615 0.2385 0.5000

- Total DFT energy (no corrections): -1.2142 eV per atom

---

(2)
Computed, not measured: a geometry-optimized CsKS2 structure at the GGA-PBE level of DFT.

Lattice parameters (Å, degrees): 5.7301 5.7301 5.7301 60.00 60.00 60.00
Sites, in units of the cell vectors:
Cs 0.5000 0.5000 0.5000
K 0.0000 0.0000 0.0000
S 0.2500 0.2500 0.2500
S 0.7500 0.7500 0.7500

- Total DFT energy (no corrections): -2.9651 eV per atom
- Energy above the most stable polymorph in this dataset: 0.460 eV per atom

---

(3)
Computed, not measured: a geometry-optimized Cs5K5S structure at the GGA-PBE level of DFT.

Lattice parameters (Å, degrees): 7.1119 8.9299 16.9259 63.82 77.87 66.53
Sites, in units of the cell vectors:
Cs 0.1643 0.5621 0.1092
Cs 0.1098 0.9789 0.8015
Cs 0.5000 0.0000 0.0000
Cs 0.8902 0.0211 0.1985
Cs 0.8357 0.4379 0.8908
K 0.2882 0.0152 0.4084
K 0.4133 0.5099 0.6634
K 0.0000 0.5000 0.5000
K 0.5867 0.4901 0.3366
K 0.7118 0.9848 0.5916
S 0.0000 0.0000 0.0000

- Total DFT energy (no corrections): -1.5212 eV per atom

---

(4)
Computed, not measured: a geometry-optimized Cs4K3S structure at the GGA-PBE level of DFT.

Lattice parameters (Å, degrees): 9.4151 11.0355 13.2685 90.00 90.00 90.00
Sites, in units of the cell vectors:
Cs 0.4853 0.5000 0.8281
Cs 0.4853 0.5000 0.1719
Cs 0.7782 0.2035 0.0000
Cs 0.7782 0.7965 0.0000
Cs 0.2218 0.7035 0.5000
Cs 0.2218 0.2965 0.5000
Cs 0.5147 0.0000 0.3281
Cs 0.5147 0.0000 0.6719
K 0.2594 0.0000 0.0000
K 0.7406 0.5000 0.5000
K 0.9707 0.5000 0.8252
K 0.9707 0.5000 0.1748
K 0.0293 0.0000 0.6748
K 0.0293 0.0000 0.3252
S 0.7503 0.5000 0.0000
S 0.2497 0.0000 0.5000

- Total DFT energy (no corrections): -1.6865 eV per atom

---

(5)
Computed, not measured: a geometry-optimized Cs2K4S structure at the GGA-PBE level of DFT.

Lattice parameters (Å, degrees): 6.2152 6.2152 14.4826 77.61 77.61 90.00
Sites, in units of the cell vectors:
Cs 0.3063 0.3063 0.3874
Cs 0.6937 0.6937 0.6126
K 0.1103 0.1103 0.7794
K 0.8897 0.8897 0.2206
K 0.0000 0.5000 0.0000
K 0.5000 0.0000 0.0000
S 0.0000 0.0000 0.0000

- Total DFT energy (no corrections): -1.8553 eV per atom
- Energy above the most stable polymorph in this dataset: 0.000 eV per atom

---

(6)
Computed, not measured: a geometry-optimized Cs6KS structure at the GGA-PBE level of DFT.

Lattice parameters (Å, degrees): 9.2657 10.0435 17.9689 101.96 90.00 117.47
Sites, in units of the cell vectors:
Cs 0.9710 0.1649 0.3954
Cs 0.1940 0.1649 0.8954
Cs 0.1280 0.4388 0.6595
Cs 0.3108 0.4388 0.1595
Cs 0.0290 0.8351 0.6046
Cs 0.8060 0.8351 0.1046
Cs 0.6068 0.3035 0.5357
Cs 0.6967 0.3035 0.0357
Cs 0.8720 0.5612 0.3405
Cs 0.6892 0.5612 0.8405
Cs 0.3932 0.6965 0.4643
Cs 0.3033 0.6965 0.9643
K 0.3746 0.0000 0.2500
K 0.6254 0.0000 0.7500
S 0.0000 0.5000 0.5000
S 0.5000 0.5000 0.0000

- Total DFT energy (no corrections): -1.6630 eV per atom

---

(7)
Computed, not measured: a geometry-optimized Cs2KS structure at the GGA-PBE level of DFT.

Lattice parameters (Å, degrees): 5.6304 5.6304 9.9285 73.53 73.53 60.00
Sites, in units of the cell vectors:
Cs 0.0395 0.0395 0.8814
Cs 0.2824 0.2824 0.1528
K 0.5323 0.5323 0.4032
S 0.6458 0.6458 0.0626

- Total DFT energy (no corrections): -2.3981 eV per atom
- Energy above the most stable polymorph in this dataset: 0.000 eV per atom

---

(8)
Computed, not measured: a geometry-optimized Cs2KS structure at the GGA-PBE level of DFT.

Lattice parameters (Å, degrees): 6.4046 6.4046 6.4046 60.00 60.00 60.00
Sites, in units of the cell vectors:
Cs 0.2500 0.2500 0.2500
Cs 0.7500 0.7500 0.7500
K 0.5000 0.5000 0.5000
S 0.0000 0.0000 0.0000

- Total DFT energy (no corrections): -2.0807 eV per atom
- Energy above the most stable polymorph in this dataset: 0.317 eV per atom

---

(9)
Computed, not measured: a geometry-optimized CsKS structure at the GGA-PBE level of DFT.

Lattice parameters (Å, degrees): 4.3330 4.3330 6.3994 109.79 109.79 90.00
Sites, in units of the cell vectors:
Cs 0.0160 0.0160 0.0319
K 0.2973 0.2973 0.5945
S 0.6868 0.6868 0.3736

- Total DFT energy (no corrections): -2.8606 eV per atom

---

(10)
Computed, not measured: a geometry-optimized CsKS3 structure at the GGA-PBE level of DFT.

Lattice parameters (Å, degrees): 5.8861 5.8861 5.8861 90.00 90.00 90.00
Sites, in units of the cell vectors:
Cs 0.5000 0.5000 0.5000
K 0.0000 0.0000 0.0000
S 0.0000 0.5000 0.0000
S 0.0000 0.0000 0.5000
S 0.5000 0.0000 0.0000

- Total DFT energy (no corrections): -2.6230 eV per atom

---

(11)
Computed, not measured: a geometry-optimized CsKS4 structure at the GGA-PBE level of DFT.

Lattice parameters (Å, degrees): 10.4334 8.1067 8.2563 116.12 126.33 94.60
Sites, in units of the cell vectors:
Cs 0.3641 0.6141 0.2282
Cs 0.6359 0.3859 0.7718
K 0.1856 0.9356 0.8712
K 0.8144 0.0644 0.1288
S 0.9657 0.1679 0.9199
S 0.8343 0.7464 0.7313
S 0.4541 0.7520 0.9199
S 0.3970 0.9849 0.7313
S 0.6030 0.0151 0.2687
S 0.5459 0.2480 0.0801
S 0.1657 0.2536 0.2687
S 0.0343 0.8321 0.0801

- Total DFT energy (no corrections): -3.7050 eV per atom

---

(12)
Computed, not measured: a geometry-optimized Cs6K3S structure at the GGA-PBE level of DFT.

Lattice parameters (Å, degrees): 12.1879 12.1879 12.1879 78.10 78.10 78.10
Sites, in units of the cell vectors:
Cs 0.1294 0.8201 0.8201
Cs 0.1799 0.8706 0.1799
Cs 0.2125 0.5228 0.5229
Cs 0.1799 0.1799 0.8706
Cs 0.5228 0.5229 0.2125
Cs 0.4771 0.7875 0.4772
Cs 0.5229 0.2125 0.5228
Cs 0.4772 0.4771 0.7875
Cs 0.8201 0.8201 0.1294
Cs 0.7875 0.4772 0.4771
Cs 0.8201 0.1294 0.8201
Cs 0.8706 0.1799 0.1799
K 0.1386 0.4568 0.1385
K 0.1385 0.1386 0.4568
K 0.5432 0.8615 0.8614
K 0.4568 0.1385 0.1386
K 0.8615 0.8614 0.5432
K 0.8614 0.5432 0.8615
S 0.0000 0.0000 0.0000
S 0.5000 0.5000 0.5000

- Total DFT energy (no corrections): -1.5501 eV per atom

---

Number 1: E_form (uncorrected) -0.1408 eV/atom, density 2.01 g cm⁻³. Number 2: E_form (uncorrected) -0.4136 eV/atom, density 2.95 g cm⁻³. Number 3: E_form (uncorrected) -0.2591 eV/atom, density 1.68 g cm⁻³. Number 4: E_form (uncorrected) -0.3322 eV/atom, density 1.64 g cm⁻³. Number 5: E_form (uncorrected) -0.3946 eV/atom, density 1.42 g cm⁻³. Number 6: E_form (uncorrected) -0.3697 eV/atom, density 2.00 g cm⁻³. Number 7: E_form (uncorrected) -0.6651 eV/atom, density 2.17 g cm⁻³. Number 8: E_form (uncorrected) -0.3476 eV/atom, density 3.01 g cm⁻³. Number 9: E_form (uncorrected) -0.8344 eV/atom, density 3.21 g cm⁻³. Number 10: E_form (uncorrected) 0.2437 eV/atom, density 2.18 g cm⁻³. Number 11: E_form (uncorrected) -0.6282 eV/atom, density 2.24 g cm⁻³. Number 12: E_form (uncorrected) -0.2960 eV/atom, density 1.84 g cm⁻³.